# 1
CsScIn2F6 | PBE | relaxed

Output
ΔE_f (raw) = -2.812 eV/atom
Crystal system = triclinic
Calculated density = 3.97 g cm⁻³
Calculated volume = 218 Å³ per cell

Lattice parameters (Å, degrees): 7.205 7.188 6.567 55.07 54.90 58.34
Sites, in units of the cell vectors:
F1 0.214 0.011 0.319
F2 0.007 0.467 0.307
F3 0.418 0.621 0.783
F4 0.175 0.418 0.796
F5 0.626 0.165 0.796
F6 0.458 0.214 0.307
Cs1 0.816 0.816 0.551
In1 0.089 0.087 0.724
In2 0.544 0.545 0.379
Sc1 0.316 0.316 0.052

***

# 2
SrPrGe2 | PBE | relaxed

Output
Crystal system = orthorhombic
Calculated formation energy = -676 meV/atom
Calculated density = 5.70 g cm⁻³
Calculated volume = 218 Å³ per cell

Lattice parameters (Å, degrees): 4.105 6.146 8.624 90.00 90.00 90.00
Sites, in units of the cell vectors:
Ge1 0.000 0.635 0.534
Ge2 0.500 0.891 0.463
Ge3 0.000 0.365 0.034
Ge4 0.500 0.109 0.963
Sr1 0.500 0.634 0.820
Sr2 0.500 0.366 0.320
Pr1 0.000 0.863 0.183
Pr2 0.000 0.137 0.683

***

# 3
CaThAgRh | PBE | relaxed

Output
Crystal system = cubic
Calculated formation energy = -358 meV/atom
Calculated density = 8.56 g cm⁻³
Calculated volume = 94 Å³ per cell

Lattice parameters (Å, degrees): 5.097 5.097 5.097 60.00 60.00 60.00
Sites, in units of the cell vectors:
Ca1 0.500 0.500 0.500
Th1 0.000 0.000 0.000
Ag1 0.250 0.250 0.250
Rh1 0.750 0.750 0.750

***

# 4
TlSiTc2 | PBE | relaxed

Output
ΔE_f (raw) = 0.136 eV/atom
Relative energy among the computed polymorphs = 0 meV per atom
Crystal system = tetragonal
Calculated density = 11.02 g cm⁻³
Calculated volume = 65 Å³ per cell

Lattice parameters (Å, degrees): 3.048 3.048 6.948 90.00 90.00 90.00
Sites, in units of the cell vectors:
Tl1 0.500 0.500 0.250
Tc1 0.000 0.000 0.559
Tc2 0.000 0.000 0.941
Si1 0.500 0.500 0.750

***

What is the calculated volume in the first record? 218 Å³ per cell

***

What is the formula in the third record? CaThAgRh